*P*
{"formula": "GdHoPb", "functional": "PBE-GGA", "state": "relaxed", "lattice": [[4.062, 0.000, 0.000], [0.000, 4.062, 0.000], [-2.031, -2.031, 5.310]], "species": ["Ho", "Gd", "Pb"], "fractional_positions": [[0.940, 0.940, 0.879], [0.624, 0.624, 0.249], [0.286, 0.286, 0.572]], "dos_at_fermi_per_ev_atom": 0.9826}



*Q*
{"formula": "GdHoPb", "functional": "PBE-GGA", "state": "relaxed", "lattice": [[3.719, 0.000, 0.000], [0.000, 5.311, 0.000], [0.000, -2.656, 4.600]], "species": ["Ho", "Pb", "Gd"], "fractional_positions": [[0.256, 0.667, 0.333], [0.027, 0.000, 0.000], [0.717, 0.333, 0.667]], "dos_at_fermi_per_ev_atom": 1.4126}



Energies, relative to the best one, in eV/atom: *P* 0.000; *Q* 0.101.



*P*
{"formula": "GdHoPd2", "functional": "PBE-GGA", "state": "relaxed", "lattice": [[4.982, 0.000, 0.000], [2.491, 4.314, 0.000], [2.491, 1.438, 4.068]], "species": ["Pd", "Pd", "Ho", "Gd"], "fractional_positions": [[0.250, 0.250, 0.250], [0.750, 0.750, 0.750], [0.500, 0.500, 0.500], [0.000, 0.000, 0.000]], "dos_at_fermi_per_ev_atom": 0.8018}



*Q*
{"formula": "GdHoPd2", "functional": "PBE-GGA", "state": "relaxed", "lattice": [[-1.129, -2.902, 2.663], [-2.241, -3.187, -1.270], [4.453, -5.421, -0.868]], "species": ["Pd", "Pd", "Ho", "Gd"], "fractional_positions": [[0.748, 0.748, 0.757], [0.252, 0.252, 0.243], [0.000, 0.000, 0.000], [0.500, 0.500, 0.500]], "dos_at_fermi_per_ev_atom": 0.7042}



Energies, relative to the best one, in eV/atom: *P* 0.000; *Q* 0.130.



*P*
{"formula": "GdHoPd", "functional": "PBE-GGA", "state": "relaxed", "lattice": [[4.898, 0.000, 0.000], [2.449, 4.242, 0.000], [2.449, 1.414, 3.999]], "species": ["Ho", "Gd", "Pd"], "fractional_positions": [[0.500, 0.500, 0.500], [0.000, 0.000, 0.000], [0.250, 0.250, 0.250]], "dos_at_fermi_per_ev_atom": 1.1269}



*Q*
{"formula": "GdHoPd", "functional": "PBE-GGA", "state": "relaxed", "lattice": [[3.807, 0.000, 0.000], [0.000, 4.784, 0.000], [0.000, -2.392, 4.143]], "species": ["Pd", "Ho", "Gd"], "fractional_positions": [[0.356, 0.667, 0.333], [0.592, 0.333, 0.667], [0.052, 0.000, 0.000]], "dos_at_fermi_per_ev_atom": 0.9549}



Energies, relative to the best one, in eV/atom: *P* 0.000; *Q* 0.074.



*P*
{"formula": "Pm2GdHo", "functional": "PBE-GGA", "state": "relaxed", "lattice": [[-2.436, 3.256, 1.055], [-2.914, -2.653, 1.455], [3.223, 0.202, 6.822]], "species": ["Gd", "Pm", "Pm", "Ho"], "fractional_positions": [[0.500, 0.500, 0.500], [0.000, 0.000, 0.246], [0.000, 0.000, 0.754], [0.500, 0.500, 0.000]], "dos_at_fermi_per_ev_atom": 1.9374}



*Q*
{"formula": "Pm2GdHo", "functional": "PBE-GGA", "state": "relaxed", "lattice": [[-1.121, 4.855, 0.966], [-1.444, 0.631, -4.849], [-4.759, -1.346, 1.241]], "species": ["Pm", "Pm", "Ho", "Gd"], "fractional_positions": [[0.000, 0.500, 0.000], [0.000, 0.000, 0.500], [0.500, 0.500, 0.500], [0.500, 0.000, 0.000]], "dos_at_fermi_per_ev_atom": 1.5827}



*R*
{"formula": "Pm2GdHo", "functional": "PBE-GGA", "state": "relaxed", "lattice": [[-1.613, -5.496, -0.288], [0.751, -2.958, -4.855], [3.960, -4.141, -0.252]], "species": ["Gd", "Ho", "Pm", "Pm"], "fractional_positions": [[0.000, 0.000, 0.000], [0.500, 0.500, 0.500], [0.250, 0.250, 0.250], [0.750, 0.750, 0.750]], "dos_at_fermi_per_ev_atom": 2.1185}



Energies, relative to the best one, in eV/atom: *P* 0.089; *Q* 0.000; *R* 0.101.



*P*
{"formula": "Pr2GdHo", "functional": "PBE-GGA", "state": "relaxed", "lattice": [[5.781, 0.000, 0.000], [2.890, 5.006, 0.000], [2.890, 1.669, 4.720]], "species": ["Ho", "Pr", "Pr", "Gd"], "fractional_positions": [[0.500, 0.500, 0.500], [0.750, 0.750, 0.750], [0.250, 0.250, 0.250], [0.000, 0.000, 0.000]], "dos_at_fermi_per_ev_atom": 2.0315}



*Q*
{"formula": "Pr2GdHo", "functional": "PBE-GGA", "state": "relaxed", "lattice": [[-1.734, 1.136, -4.647], [-1.384, -4.925, -0.687], [-4.651, 1.030, 1.987]], "species": ["Pr", "Pr", "Ho", "Gd"], "fractional_positions": [[0.000, 0.500, 0.000], [0.000, 0.000, 0.500], [0.500, 0.500, 0.500], [0.500, 0.000, 0.000]], "dos_at_fermi_per_ev_atom": 1.5593}



Energies, relative to the best one, in eV/atom: *P* 0.090; *Q* 0.000.



*P*
{"formula": "GdHo2Pt", "functional": "PBE-GGA", "state": "relaxed", "lattice": [[-3.720, -1.077, 0.278], [-0.900, -3.578, 1.210], [-1.759, 1.463, 9.249]], "species": ["Pt", "Gd", "Ho", "Ho"], "fractional_positions": [[0.000, 0.000, 0.000], [0.500, 0.500, 0.500], [0.274, 0.274, 0.179], [0.726, 0.726, 0.821]], "dos_at_fermi_per_ev_atom": 1.8623}



*Q*
{"formula": "GdHo2Pt", "functional": "PBE-GGA", "state": "relaxed", "lattice": [[3.550, 0.000, 0.000], [0.000, 3.550, 0.000], [0.000, 0.000, 8.512]], "species": ["Pt", "Ho", "Ho", "Gd"], "fractional_positions": [[0.500, 0.500, 0.000], [0.000, 0.000, 0.808], [0.000, 0.000, 0.192], [0.500, 0.500, 0.500]], "dos_at_fermi_per_ev_atom": 1.2447}



Energies, relative to the best one, in eV/atom: *P* 0.094; *Q* 0.000.